# 1
Zr2BiAs | GGA-PBE | optimized geometry

## Properties
E_form, meV/atom: -778
V, Å³/cell: 93.7

a = 7.3506 Å, b = 7.3506 Å, c = 7.3506 Å
α = 31.04°, β = 31.04°, γ = 31.04°
Fractional coordinates of all 4 atoms:
Zr 0.0000 0.0000 0.0000
Zr 0.1951 0.1951 0.1951
Bi 0.7649 0.7649 0.7649
As 0.5965 0.5965 0.5965



# 2
CoCuGe | GGA-PBE | optimized geometry

## Properties
E_form, meV/atom: -77
V, Å³/cell: 79.6

a = 3.6986 Å, b = 3.6986 Å, c = 5.8204 Å
α = 90.00°, β = 90.00°, γ = 90.00°
Fractional coordinates of all 6 atoms:
Co 0.2500 0.7500 0.0000
Co 0.7500 0.2500 0.0000
Cu 0.2500 0.2500 0.3243
Cu 0.7500 0.7500 0.6757
Ge 0.2500 0.2500 0.7441
Ge 0.7500 0.7500 0.2559



# 3
Tb2CoSn3 | GGA-PBE | optimized geometry

## Properties
E_form, meV/atom: -388
V, Å³/cell: 147.6
Energy above the lowest structure with this stoichiometry, eV/f.u.: 0.68

a = 4.0518 Å, b = 4.6304 Å, c = 7.8654 Å
α = 90.00°, β = 90.00°, γ = 90.00°
Fractional coordinates of all 6 atoms:
Tb 0.0000 0.0000 0.0000
Tb 0.0000 0.5000 0.4512
Co 0.5000 0.0000 0.2656
Sn 0.5000 0.0000 0.5834
Sn 0.5000 0.5000 0.1511
Sn 0.5000 0.5000 0.7916



# 4
Ti5Pb3Se12 | GGA-PBE | optimized geometry

## Properties
V, Å³/cell: 2150.5
Raw formation energy, eV per atom: -0.81

a = 14.0838 Å, b = 14.0838 Å, c = 14.0838 Å
α = 109.47°, β = 109.47°, γ = 109.47°
Fractional coordinates of all 80 atoms:
Ti 0.0000 0.0000 0.0000
Ti 0.0000 0.0000 0.5000
Ti 0.0000 0.5000 0.0000
Ti 0.0000 0.5000 0.5000
Ti 0.1250 0.7500 0.8750
Ti 0.1250 0.8750 0.2500
Ti 0.2500 0.1250 0.8750
Ti 0.2500 0.6250 0.3750
Ti 0.3750 0.2500 0.6250
Ti 0.3750 0.6250 0.7500
Ti 0.5000 0.0000 0.0000
Ti 0.5000 0.0000 0.5000
Ti 0.5000 0.5000 0.0000
Ti 0.5000 0.5000 0.5000
Ti 0.6250 0.3750 0.2500
Ti 0.6250 0.7500 0.3750
Ti 0.7500 0.3750 0.6250
Ti 0.7500 0.8750 0.1250
Ti 0.8750 0.1250 0.7500
Ti 0.8750 0.2500 0.1250
Pb 0.1250 0.2500 0.3750
Pb 0.1250 0.3750 0.7500
Pb 0.2500 0.3750 0.1250
Pb 0.2500 0.8750 0.6250
Pb 0.3750 0.1250 0.2500
Pb 0.3750 0.7500 0.1250
Pb 0.6250 0.2500 0.8750
Pb 0.6250 0.8750 0.7500
Pb 0.7500 0.1250 0.3750
Pb 0.7500 0.6250 0.8750
Pb 0.8750 0.6250 0.2500
Pb 0.8750 0.7500 0.6250
Se 0.0216 0.2017 0.1148
Se 0.0216 0.3199 0.9068
Se 0.0869 0.7017 0.6801
Se 0.0869 0.8852 0.4068
Se 0.0932 0.6148 0.4131
Se 0.0932 0.9784 0.6801
Se 0.1148 0.0216 0.2017
Se 0.1148 0.5932 0.9131
Se 0.1801 0.2017 0.5869
Se 0.1801 0.4784 0.5932
Se 0.2017 0.1148 0.0216
Se 0.2017 0.5869 0.1801
Se 0.2983 0.3199 0.9131
Se 0.2983 0.4784 0.3852
Se 0.3199 0.9068 0.0216
Se 0.3199 0.9131 0.2983
Se 0.3852 0.2983 0.4784
Se 0.3852 0.5869 0.9068
Se 0.4068 0.0869 0.8852
Se 0.4068 0.8199 0.5216
Se 0.4131 0.0932 0.6148
Se 0.4131 0.8199 0.7983
Se 0.4784 0.3852 0.2983
Se 0.4784 0.5932 0.1801
Se 0.5216 0.4068 0.8199
Se 0.5216 0.6148 0.7017
Se 0.5869 0.1801 0.2017
Se 0.5869 0.9068 0.3852
Se 0.5932 0.1801 0.4784
Se 0.5932 0.9131 0.1148
Se 0.6148 0.4131 0.0932
Se 0.6148 0.7017 0.5216
Se 0.6801 0.0869 0.7017
Se 0.6801 0.0932 0.9784
Se 0.7017 0.5216 0.6148
Se 0.7017 0.6801 0.0869
Se 0.7983 0.4131 0.8199
Se 0.7983 0.8852 0.9784
Se 0.8199 0.5216 0.4068
Se 0.8199 0.7983 0.4131
Se 0.8852 0.4068 0.0869
Se 0.8852 0.9784 0.7983
Se 0.9068 0.0216 0.3199
Se 0.9068 0.3852 0.5869
Se 0.9131 0.1148 0.5932
Se 0.9131 0.2983 0.3199
Se 0.9784 0.6801 0.0932
Se 0.9784 0.7983 0.8852



# 5
NdDy6In4 | GGA-PBE | optimized geometry

## Properties
E_form, meV/atom: -294
V, Å³/cell: 330.4

a = 10.1199 Å, b = 10.1199 Å, c = 3.7248 Å
α = 90.00°, β = 90.00°, γ = 120.00°
Fractional coordinates of all 11 atoms:
Nd 0.0000 0.0000 0.0000
Dy 0.0758 0.5379 0.0000
Dy 0.3820 0.1910 0.5000
Dy 0.4621 0.5379 0.0000
Dy 0.4621 0.9242 0.0000
Dy 0.8090 0.1910 0.5000
Dy 0.8090 0.6180 0.5000
In 0.1631 0.3261 0.5000
In 0.1631 0.8369 0.5000
In 0.6667 0.3333 0.0000
In 0.6739 0.8369 0.5000